(1)
A relaxed TaCoHg2 crystal. Source: the Alexandria database, functional PBE.

Calculated values
**Total magnetic moment**: 0.9 Bohr magnetons per cell
**E_tot**: -4.315 eV per atom

Lattice parameters (Å, degrees): 6.5393 6.5393 6.5393 90.00 90.00 90.00
Positions (direct):
Ta 0.0000 0.0000 0.0000
Ta 0.0000 0.5000 0.5000
Ta 0.5000 0.0000 0.5000
Ta 0.5000 0.5000 0.0000
Co 0.2500 0.2500 0.7500
Co 0.2500 0.7500 0.2500
Co 0.7500 0.2500 0.2500
Co 0.7500 0.7500 0.7500
Hg 0.0000 0.0000 0.5000
Hg 0.0000 0.5000 0.0000
Hg 0.2500 0.2500 0.2500
Hg 0.2500 0.7500 0.7500
Hg 0.5000 0.0000 0.0000
Hg 0.5000 0.5000 0.5000
Hg 0.7500 0.2500 0.7500
Hg 0.7500 0.7500 0.2500

=====

(2)
A relaxed TaCoHg2 crystal. Source: the Alexandria database, functional PBE.

Calculated values
**Total magnetic moment**: 4.6 Bohr magnetons per cell
**E_tot**: -4.373 eV per atom

Lattice parameters (Å, degrees): 2.9847 2.9847 28.0604 90.00 90.00 120.00
Positions (direct):
Ta 0.0000 0.0000 0.0000
Ta 0.3333 0.6667 0.6667
Ta 0.6667 0.3333 0.3333
Co 0.0000 0.0000 0.5000
Co 0.3333 0.6667 0.1667
Co 0.6667 0.3333 0.8333
Hg 0.0000 0.0000 0.2436
Hg 0.0000 0.0000 0.7564
Hg 0.3333 0.6667 0.4230
Hg 0.3333 0.6667 0.9103
Hg 0.6667 0.3333 0.0897
Hg 0.6667 0.3333 0.5770

=====

(3)
A relaxed TaCoHg2 crystal. Source: the Alexandria database, functional PBE.

Calculated values
**Total magnetic moment**: 1.7 Bohr magnetons per cell
**E_tot**: -4.405 eV per atom

Lattice parameters (Å, degrees): 2.9670 2.9670 7.9811 90.00 90.00 90.00
Positions (direct):
Ta 0.0000 0.0000 0.0000
Co 0.0000 0.0000 0.5000
Hg 0.5000 0.5000 0.2719
Hg 0.5000 0.5000 0.7281

=====

(4)
A relaxed TaCoHg2 crystal. Source: the Alexandria database, functional PBE.

Calculated values
**Total magnetic moment**: 2.3 Bohr magnetons per cell
**E_tot**: -4.360 eV per atom

Lattice parameters (Å, degrees): 3.1234 4.7009 9.6550 90.00 90.00 90.00
Positions (direct):
Ta 0.0000 0.0000 0.0000
Ta 0.5000 0.5000 0.5000
Co 0.0000 0.0000 0.5000
Co 0.5000 0.5000 0.0000
Hg 0.0000 0.5000 0.2254
Hg 0.0000 0.5000 0.7746
Hg 0.5000 0.0000 0.2746
Hg 0.5000 0.0000 0.7254

=====

(5)
A relaxed TaCo2TcHg crystal. Source: the Alexandria database, functional PBE.

Calculated values
**Total magnetic moment**: 4.1 Bohr magnetons per cell
**E_tot**: -5.116 eV per atom

Lattice parameters (Å, degrees): 4.5583 4.5583 5.0693 90.00 90.00 90.00
Positions (direct):
Ta 0.0000 0.0000 0.0000
Co 0.0000 0.5000 0.5000
Co 0.5000 0.0000 0.5000
Tc 0.5000 0.5000 0.0000
Hg 0.0000 0.0000 0.5000

=====

(6)
A relaxed Ta2CoHgTe crystal. Source: the Alexandria database, functional PBE.

Calculated values
**Total magnetic moment**: 2.1 Bohr magnetons per cell
**E_tot**: -4.740 eV per atom

Lattice parameters (Å, degrees): 5.0328 5.0328 5.3324 90.00 90.00 90.00
Positions (direct):
Ta 0.0000 0.5000 0.0000
Ta 0.5000 0.0000 0.0000
Co 0.0000 0.0000 0.5000
Hg 0.5000 0.5000 0.5000
Te 0.5000 0.5000 0.0000

=====

(7)
A relaxed TaZnCo2Hg crystal. Source: the Alexandria database, functional PBE.

Calculated values
**Total magnetic moment**: 0.0 Bohr magnetons per cell
**E_tot**: -4.168 eV per atom

Lattice parameters (Å, degrees): 4.4741 4.4741 5.4175 90.00 90.00 90.00
Positions (direct):
Ta 0.0000 0.0000 0.0000
Zn 0.5000 0.5000 0.5000
Co 0.0000 0.5000 0.0000
Co 0.5000 0.0000 0.0000
Hg 0.0000 0.0000 0.5000

=====

(8)
A relaxed Tb6CoHg2 crystal. Source: the Alexandria database, functional PBE.

Calculated values
**Total magnetic moment**: 0.0 Bohr magnetons per cell
**E_tot**: -4.179 eV per atom

Lattice parameters (Å, degrees): 6.9685 7.1984 12.2703 90.00 124.28 90.00
Positions (direct):
Tb 0.1490 0.0059 0.2497
Tb 0.1490 0.4941 0.7497
Tb 0.2471 0.7009 0.0484
Tb 0.2471 0.7991 0.5484
Tb 0.3489 0.1999 0.0449
Tb 0.3489 0.3001 0.5449
Tb 0.6511 0.6999 0.4551
Tb 0.6511 0.8001 0.9551
Tb 0.7529 0.2009 0.4516
Tb 0.7529 0.2991 0.9516
Tb 0.8510 0.5059 0.2503
Tb 0.8510 0.9941 0.7503
Co 0.0000 0.0000 0.0000
Co 0.0000 0.5000 0.5000
Hg 0.2822 0.0765 0.7520
Hg 0.2822 0.4235 0.2520
Hg 0.7178 0.5765 0.7480
Hg 0.7178 0.9235 0.2480

=====

(9)
A relaxed Tb4CoHg3 crystal. Source: the Alexandria database, functional PBE.

Calculated values
**Total magnetic moment**: 0.5 Bohr magnetons per cell
**E_tot**: -3.697 eV per atom

Lattice parameters (Å, degrees): 3.5611 3.5611 15.3274 90.00 90.00 90.00
Positions (direct):
Tb 0.0000 0.0000 0.1052
Tb 0.0000 0.0000 0.3697
Tb 0.0000 0.0000 0.6303
Tb 0.0000 0.0000 0.8948
Co 0.5000 0.5000 0.0000
Hg 0.5000 0.5000 0.2405
Hg 0.5000 0.5000 0.5000
Hg 0.5000 0.5000 0.7595

=====

(10)
A relaxed Tb6CoHg5 crystal. Source: the Alexandria database, functional PBE.

Calculated values
**Total magnetic moment**: 0.0 Bohr magnetons per cell
**E_tot**: -3.448 eV per atom

Lattice parameters (Å, degrees): 8.9401 8.9401 5.1743 106.75 106.75 49.20
Positions (direct):
Tb 0.0782 0.6110 0.3442
Tb 0.2253 0.7747 0.0000
Tb 0.3890 0.9218 0.6558
Tb 0.6110 0.0782 0.3442
Tb 0.7747 0.2253 0.0000
Tb 0.9218 0.3890 0.6558
Co 0.0000 0.0000 0.5000
Hg 0.1821 0.1821 0.1827
Hg 0.3338 0.3338 0.8336
Hg 0.5000 0.5000 0.5000
Hg 0.6662 0.6662 0.1664
Hg 0.8179 0.8179 0.8173

=====

(11)
A relaxed Tb8Co2Hg crystal. Source: the Alexandria database, functional PBE.

Calculated values
**Total magnetic moment**: 0.0 Bohr magnetons per cell
**E_tot**: -4.784 eV per atom

Lattice parameters (Å, degrees): 7.8388 7.8388 5.3825 97.36 97.36 114.01
Positions (direct):
Tb 0.0702 0.3316 0.5738
Tb 0.2472 0.7528 0.0000
Tb 0.3316 0.0702 0.5738
Tb 0.3857 0.3857 0.1968
Tb 0.6143 0.6143 0.8032
Tb 0.6684 0.9298 0.4262
Tb 0.7528 0.2472 0.0000
Tb 0.9298 0.6684 0.4262
Co 0.3037 0.6963 0.5000
Co 0.6963 0.3037 0.5000
Hg 0.0000 0.0000 0.0000

=====

(12)
A relaxed Tb11Co4Hg9 crystal. Source: the Alexandria database, functional PBE.

Calculated values
**Total magnetic moment**: 0.0 Bohr magnetons per cell
**E_tot**: -3.814 eV per atom

Lattice parameters (Å, degrees): 12.9422 12.9422 3.5945 90.00 90.00 112.42
Positions (direct):
Tb 0.0000 0.0000 0.0000
Tb 0.0866 0.4180 0.0000
Tb 0.1644 0.8356 0.0000
Tb 0.3101 0.3101 0.0000
Tb 0.3738 0.6262 0.0000
Tb 0.4180 0.0866 0.0000
Tb 0.5820 0.9134 0.0000
Tb 0.6262 0.3738 0.0000
Tb 0.6899 0.6899 0.0000
Tb 0.8356 0.1644 0.0000
Tb 0.9134 0.5820 0.0000
Co 0.2541 0.4524 0.5000
Co 0.4524 0.2541 0.5000
Co 0.5476 0.7459 0.5000
Co 0.7459 0.5476 0.5000
Hg 0.0729 0.2177 0.5000
Hg 0.1552 0.6306 0.5000
Hg 0.2177 0.0729 0.5000
Hg 0.3694 0.8448 0.5000
Hg 0.5000 0.5000 0.5000
Hg 0.6306 0.1552 0.5000
Hg 0.7823 0.9271 0.5000
Hg 0.8448 0.3694 0.5000
Hg 0.9271 0.7823 0.5000

=====

(13)
A relaxed Tb3CoHg crystal. Source: the Alexandria database, functional PBE.

Calculated values
**Relative energy among the computed polymorphs**: 136.3 meV/atom
**Total magnetic moment**: 0.0 Bohr magnetons per cell
**E_tot**: -4.397 eV per atom

Lattice parameters (Å, degrees): 5.1591 5.1591 5.1591 90.00 90.00 90.00
Positions (direct):
Tb 0.0000 0.0000 0.5000
Tb 0.0000 0.5000 0.0000
Tb 0.5000 0.0000 0.0000
Co 0.0000 0.0000 0.0000
Hg 0.5000 0.5000 0.5000

=====

(14)
A relaxed Tb8CoHg2 crystal. Source: the Alexandria database, functional PBE.

Calculated values
**Total magnetic moment**: 0.0 Bohr magnetons per cell
**E_tot**: -4.257 eV per atom

Lattice parameters (Å, degrees): 9.1668 9.1668 6.8094 106.35 106.35 33.50
Positions (direct):
Tb 0.0222 0.0222 0.2846
Tb 0.2005 0.2005 0.7999
Tb 0.3512 0.3512 0.5449
Tb 0.4123 0.4123 0.0758
Tb 0.5877 0.5877 0.9242
Tb 0.6488 0.6488 0.4551
Tb 0.7995 0.7995 0.2001
Tb 0.9778 0.9778 0.7154
Co 0.5000 0.5000 0.5000
Hg 0.1870 0.1870 0.2250
Hg 0.8130 0.8130 0.7750

=====

(15)
A relaxed Tb12Co2Hg5 crystal. Source: the Alexandria database, functional PBE.

Calculated values
**Total magnetic moment**: 0.0 Bohr magnetons per cell
**E_tot**: -3.895 eV per atom

Lattice parameters (Å, degrees): 9.0685 9.0685 9.6976 105.83 105.83 49.01
Positions (direct):
Tb 0.9995 0.9995 0.1806
Tb 0.0005 0.0005 0.8194
Tb 0.1002 0.6008 0.4280
Tb 0.1044 0.5732 0.9169
Tb 0.3992 0.8998 0.5720
Tb 0.4268 0.8956 0.0831
Tb 0.4989 0.4989 0.7710
Tb 0.5011 0.5011 0.2290
Tb 0.5732 0.1044 0.9169
Tb 0.6008 0.1002 0.4280
Tb 0.8956 0.4268 0.0831
Tb 0.8998 0.3992 0.5720
Co 0.2894 0.7106 0.0000
Co 0.7106 0.2894 0.0000
Hg 0.0000 0.0000 0.5000
Hg 0.3021 0.3021 0.6396
Hg 0.3074 0.3074 0.1638
Hg 0.6926 0.6926 0.8362
Hg 0.6979 0.6979 0.3604

=====

(16)
A relaxed Tb12Co5Hg crystal. Source: the Alexandria database, functional PBE.

Calculated values
**Total magnetic moment**: 0.0 Bohr magnetons per cell
**E_tot**: -5.293 eV per atom

Lattice parameters (Å, degrees): 8.2949 8.2949 8.2949 110.66 110.09 107.68
Positions (direct):
Tb 0.0155 0.2077 0.8077
Tb 0.1845 0.2925 0.4770
Tb 0.1845 0.7075 0.8920
Tb 0.3159 0.0121 0.6962
Tb 0.3159 0.6197 0.3038
Tb 0.4000 0.2077 0.1923
Tb 0.6000 0.7923 0.8077
Tb 0.6841 0.3803 0.6962
Tb 0.6841 0.9879 0.3038
Tb 0.8155 0.2925 0.1080
Tb 0.8155 0.7075 0.5230
Tb 0.9845 0.7923 0.1923
Co 0.0000 0.0000 0.0000
Co 0.1133 0.6133 0.5000
Co 0.3781 0.0000 0.3781
Co 0.6219 0.0000 0.6219
Co 0.8867 0.3867 0.5000
Hg 0.5000 0.5000 0.0000

=====

(17)
A relaxed Tb2Co2Hg crystal. Source: the Alexandria database, functional PBE.

Calculated values
**Total magnetic moment**: 3.2 Bohr magnetons per cell
**E_tot**: -5.077 eV per atom

Lattice parameters (Å, degrees): 3.8475 13.6551 3.9290 90.00 90.00 90.00
Positions (direct):
Tb 0.0000 0.1359 0.0000
Tb 0.0000 0.8641 0.0000
Tb 0.5000 0.3641 0.0000
Tb 0.5000 0.6359 0.0000
Co 0.0000 0.2917 0.5000
Co 0.0000 0.7083 0.5000
Co 0.5000 0.2083 0.5000
Co 0.5000 0.7917 0.5000
Hg 0.0000 0.5000 0.5000
Hg 0.5000 0.0000 0.5000

=====

(18)
A relaxed Tb3CoHg crystal. Source: the Alexandria database, functional PBE.

Calculated values
**Relative energy among the computed polymorphs**: 0.0 meV/atom
**Total magnetic moment**: 0.0 Bohr magnetons per cell
**E_tot**: -4.533 eV per atom

Lattice parameters (Å, degrees): 5.5587 6.5188 8.2741 69.40 77.30 65.60
Positions (direct):
Tb 0.0392 0.1613 0.1191
Tb 0.3636 0.1838 0.6853
Tb 0.3740 0.4670 0.2223
Tb 0.6260 0.5330 0.7777
Tb 0.6364 0.8162 0.3147
Tb 0.9608 0.8387 0.8809
Co 0.4371 0.8405 0.9782
Co 0.5629 0.1595 0.0218
Hg 0.1081 0.7372 0.5192
Hg 0.8919 0.2628 0.4808

=====

(19)
A relaxed Tb7Co2Hg2 crystal. Source: the Alexandria database, functional PBE.

Calculated values
**Relative energy among the computed polymorphs**: 11.3 meV/atom
**Total magnetic moment**: 0.0 Bohr magnetons per cell
**E_tot**: -4.477 eV per atom

Lattice parameters (Å, degrees): 6.7037 6.7037 7.0531 90.00 90.00 109.24
Positions (direct):
Tb 0.0000 0.0000 0.0000
Tb 0.0000 0.5000 0.2441
Tb 0.0000 0.5000 0.7559
Tb 0.5000 0.0000 0.2441
Tb 0.5000 0.0000 0.7559
Tb 0.5000 0.5000 0.2348
Tb 0.5000 0.5000 0.7652
Co 0.2928 0.7072 0.0000
Co 0.7072 0.2928 0.0000
Hg 0.1847 0.1847 0.5000
Hg 0.8153 0.8153 0.5000

=====

(20)
A relaxed Tb4Co2Hg crystal. Source: the Alexandria database, functional PBE.

Calculated values
**Total magnetic moment**: 0.0 Bohr magnetons per cell
**E_tot**: -4.896 eV per atom

Lattice parameters (Å, degrees): 6.9547 7.0860 7.2373 100.15 101.47 94.33
Positions (direct):
Tb 0.0000 0.0000 0.0000
Tb 0.0242 0.3972 0.3870
Tb 0.3982 0.3996 0.0371
Tb 0.4809 0.0939 0.6381
Tb 0.5323 0.9021 0.1022
Tb 0.5582 0.5807 0.5147
Tb 0.8865 0.4759 0.8946
Tb 0.9239 0.9665 0.4863
Co 0.2915 0.1521 0.3009
Co 0.6380 0.2488 0.3477
Co 0.7168 0.2255 0.0359
Co 0.7607 0.6230 0.2248
Hg 0.1976 0.7511 0.2719
Hg 0.2128 0.7229 0.7362